Below is a relaxed structure of ScZn2Sb, with properties calculated at the PBE level.

a b c (Å): 4.184 4.184 4.393
angles (deg): 90.25 90.25 90.43
Positions (direct):
Sc 0.000 0.000 0.000
Zn 0.000 0.500 0.500
Zn 0.500 0.000 0.500
Sb 0.500 0.500 0.000

magnetization	0.00	Bohr magnetons per cell
E_form (uncorrected)	-353	meV per atom
symmetry	No. 12